Below is a relaxed structure of NbNiBRu2, with properties calculated at the GGA-PBE level.

abc: 4.1152 4.1152 3.8326
angles: 90.00 90.00 90.00
Last column: nearest neighbours and their distance in Å.
Space group P4/mmm (No. 123)
Asymmetric unit:
Nb1 0.0000 0.0000 0.0000 [1 per cell]  8 Ru 2.81, 4 Ni 2.91
Ni1 0.5000 0.5000 0.0000 [1 per cell]  2 B 1.92
B1 0.5000 0.5000 0.5000 [1 per cell]  2 Ni 1.92, 4 Ru 2.06
Ru1 0.0000 0.5000 0.5000 [2 per cell]  2 B 2.06

Summary:
**Electronic total energy**: -8.420 eV per atom
**Energy of formation from the pure elements**: -0.204 eV per atom
**Magnetization**: 0.000 μB/atom